VASP calculation (GGA-PBE) on Pm3Sm3In2 after structural relaxation.

Offset from the most stable computed form: 0.116 eV/atom
Size of the total moment: 0.00 μB/cell
Energy relative to the elements: -0.157 eV per atom

Cell lengths 5.3424, 6.6413, 15.8539 Å; angles 90.00, 90.00, 113.72 degrees
Element x y z (fractional)
Pm  0.0388  0.0776  0.6058
Pm  0.9612  0.9224  0.1058
Pm  0.9612  0.9224  0.3942
Pm  0.7380  0.4760  0.2500
Pm  0.0388  0.0776  0.8942
Pm  0.2620  0.5240  0.7500
In  0.2226  0.4452  0.3572
In  0.7774  0.5548  0.8572
In  0.2226  0.4452  0.1428
In  0.7774  0.5548  0.6428
Sm  0.6418  0.2837  0.0286
Sm  0.4581  0.9162  0.2500
Sm  0.3582  0.7163  0.5286
Sm  0.3582  0.7163  0.9714
Sm  0.6418  0.2837  0.4714
Sm  0.5419  0.0838  0.7500